# 1
Entry from Alexandria: crystalline LaRe3Cl at its relaxed geometry (PBEsol).

Unit cell a=4.482 b=4.482 c=4.482 alpha=90.00 beta=90.00 gamma=90.00
Last column: magnetic moment on the atom in μB.
Fractional coordinates of all 5 atoms:
Re1 0.000 0.500 0.000  0.09
Re2 0.000 0.000 0.500  0.09
Re3 0.500 0.000 0.000  0.09
Cl1 0.000 0.000 0.000  0.00
La1 0.500 0.500 0.500  0.01

Properties
Total magnetic moment in Bohr magnetons per cell: 0.313
SG: No. 221
Fermi-level density of states in states/eV/f.u.: 8.5
Uncorrected formation energy in meV per atom: 1331
E in eV/atom: -8.139



# 2
Entry from Alexandria: crystalline CsLiSb3 at its relaxed geometry (PBEsol).

Unit cell a=6.118 b=6.118 c=6.118 alpha=90.00 beta=90.00 gamma=90.00
Fractional coordinates of all 5 atoms:
Cs1 0.000 0.000 0.000
Sb1 0.000 0.500 0.000
Sb2 0.000 0.000 0.500
Sb3 0.500 0.000 0.000
Li1 0.500 0.500 0.500

Properties
Total magnetic moment in Bohr magnetons per cell: 0.000
SG: No. 221
Fermi-level density of states in states/eV/f.u.: 6.4
Uncorrected formation energy in meV per atom: 1229
E in eV/atom: -2.087



# 3
Entry from Alexandria: crystalline Sr2MnFe at its relaxed geometry (PBEsol).

Unit cell a=4.661 b=4.661 c=5.606 alpha=114.57 beta=114.57 gamma=90.00
Last column: magnetic moment on the atom in μB.
Fractional coordinates of all 4 atoms:
Fe1 0.500 0.500 0.000  2.72
Mn1 0.250 0.750 0.500  3.75
Sr1 0.000 0.000 0.000  -0.10
Sr2 0.750 0.250 0.500  -0.10

Properties
Total magnetic moment in Bohr magnetons per cell: 6.133
SG: No. 119
Fermi-level density of states in states/eV/f.u.: 6.4
E above lowest polymorph in meV per atom: 0
E in eV/atom: -4.654
Energy of formation in meV per atom: 947



# 4
Entry from Alexandria: crystalline MgAlCr4 at its relaxed geometry (PBEsol).

Unit cell a=4.805 b=4.805 c=4.805 alpha=60.00 beta=60.00 gamma=60.00
Fractional coordinates of all 6 atoms:
Al1 0.000 0.000 0.000
Cr1 0.375 0.375 0.375
Cr2 0.375 0.375 0.874
Cr3 0.874 0.375 0.375
Cr4 0.375 0.874 0.375
Mg1 0.750 0.750 0.750

Properties
Total magnetic moment in Bohr magnetons per cell: 0.000
SG: No. 216
Fermi-level density of states in states/eV/f.u.: 7.7
E in eV/atom: -7.512
Energy of formation in meV per atom: 284



# 5
Entry from Alexandria: crystalline Tl2SiPt at its relaxed geometry (PBEsol).

Unit cell a=3.748 b=4.084 c=7.168 alpha=104.94 beta=90.00 gamma=117.31
Fractional coordinates of all 4 atoms:
Pt1 0.475 0.951 0.410
Si1 0.778 0.556 0.347
Tl1 0.018 0.036 0.048
Tl2 0.229 0.457 0.695

Properties
Total magnetic moment in Bohr magnetons per cell: 0.000
SG: No. 8
Fermi-level density of states in states/eV/f.u.: 2.1
Uncorrected formation energy in meV per atom: -135
E in eV/atom: -4.627



# 6
Entry from Alexandria: crystalline Re2TeW at its relaxed geometry (PBEsol).

Unit cell a=2.806 b=2.806 c=9.451 alpha=90.00 beta=90.00 gamma=112.88
Fractional coordinates of all 4 atoms:
Re1 0.000 0.000 0.999
Re2 0.500 0.500 0.779
Te1 0.000 0.000 0.499
W1 0.500 0.500 0.224

Properties
Total magnetic moment in Bohr magnetons per cell: 0.000
SG: No. 35
Fermi-level density of states in states/eV/f.u.: 3.8
Uncorrected formation energy in meV per atom: 836
E in eV/atom: -10.164



# 7
Entry from Alexandria: crystalline Al3CdHg at its relaxed geometry (PBEsol).

Unit cell a=5.022 b=5.022 c=5.022 alpha=90.00 beta=90.00 gamma=90.00
Fractional coordinates of all 5 atoms:
Al1 0.000 0.500 0.000
Al2 0.000 0.000 0.500
Al3 0.500 0.000 0.000
Hg1 0.000 0.000 0.000
Cd1 0.500 0.500 0.500

Properties
Total magnetic moment in Bohr magnetons per cell: 0.000
SG: No. 221
Fermi-level density of states in states/eV/f.u.: 2.3
E in eV/atom: -2.165
Energy of formation in meV per atom: 643



# 8
Entry from Alexandria: crystalline KCrSi at its relaxed geometry (PBEsol).

Unit cell a=4.747 b=4.747 c=4.747 alpha=60.00 beta=60.00 gamma=60.00
Last column: magnetic moment on the atom in μB.
Fractional coordinates of all 3 atoms:
Cr1 0.000 0.000 0.000  3.58
K1 0.500 0.500 0.500  -0.04
Si1 0.750 0.750 0.750  -0.35

Properties
Total magnetic moment in Bohr magnetons per cell: 2.968
SG: No. 216
Fermi-level density of states in states/eV/f.u.: 1.0
Uncorrected formation energy in meV per atom: 1098
E above lowest polymorph in meV per atom: 0
E in eV/atom: -4.609



# 9
Entry from Alexandria: crystalline ZnHBr at its relaxed geometry (PBEsol).

Unit cell a=3.805 b=4.699 c=6.843 alpha=90.00 beta=106.14 gamma=90.00
Fractional coordinates of all 6 atoms:
H1 0.442 0.674 0.884
H2 0.558 0.174 0.116
Zn1 0.557 0.526 0.113
Zn2 0.443 0.026 0.887
Br1 0.158 0.674 0.317
Br2 0.842 0.174 0.683

Properties
Total magnetic moment in Bohr magnetons per cell: 0.000
SG: No. 36
Fermi-level density of states in states/eV/f.u.: 0.0
E in eV/atom: -2.613



# 10
Entry from Alexandria: crystalline TlBiAs2Br at its relaxed geometry (PBEsol).

Unit cell a=5.269 b=5.269 c=5.317 alpha=90.00 beta=90.00 gamma=90.00
Fractional coordinates of all 5 atoms:
As1 0.000 0.500 0.000
As2 0.500 0.000 0.000
Tl1 0.000 0.000 0.000
Bi1 0.500 0.500 0.500
Br1 0.000 0.000 0.500

Properties
Total magnetic moment in Bohr magnetons per cell: 0.000
SG: No. 123
Fermi-level density of states in states/eV/f.u.: 3.5
Uncorrected formation energy in meV per atom: 701
E in eV/atom: -3.098



# 11
Entry from Alexandria: crystalline CaLaGaRh2 at its relaxed geometry (PBEsol).

Unit cell a=4.777 b=4.777 c=5.051 alpha=90.00 beta=90.00 gamma=90.00
Fractional coordinates of all 5 atoms:
Ca1 0.000 0.000 0.000
Rh1 0.000 0.500 0.000
Rh2 0.500 0.000 0.000
Ga1 0.000 0.000 0.500
La1 0.500 0.500 0.500

Properties
Total magnetic moment in Bohr magnetons per cell: 0.000
SG: No. 123
Fermi-level density of states in states/eV/f.u.: 3.6
E in eV/atom: -4.890
Energy of formation in meV per atom: 529



# 12
Entry from Alexandria: crystalline SrY3Ir at its relaxed geometry (PBEsol).

Unit cell a=3.750 b=9.083 c=9.094 alpha=104.00 beta=90.00 gamma=90.00
Fractional coordinates of all 10 atoms:
Y1 0.250 0.978 0.342
Y2 0.250 0.589 0.209
Y3 0.750 0.022 0.658
Y4 0.750 0.341 0.406
Y5 0.250 0.659 0.594
Y6 0.750 0.411 0.791
Sr1 0.250 0.195 0.025
Sr2 0.750 0.805 0.975
Ir1 0.250 0.235 0.591
Ir2 0.750 0.765 0.409

Properties
Total magnetic moment in Bohr magnetons per cell: 0.000
SG: No. 11
Fermi-level density of states in states/eV/f.u.: 4.9
E in eV/atom: -6.783
Energy of formation in meV per atom: -357